The following is a DFT calculation (PBE) of a relaxed PrHf2SbO8 crystal.

Calculated values
Its mass density is 7.60 Mg/m³. Its magnetic moment is 0.000 μB per atom. For the formation energy (no corrections), the calculation gives -2.8320 eV/atom. The space group is Cmmm (65). The density of states at the Fermi level comes out at 0.000 states/eV per atom.

Geometry as POSCAR:
```
PrHf2SbO8
1.0
-1.741 -0.109 4.617
-2.616 -4.073 -0.955
5.211 -3.787 1.876
Sb Hf O Pr
1 2 8 1
Direct
0.000 0.000 0.000
0.500 0.500 0.246
0.500 0.500 0.754
0.799 0.202 0.214
0.704 0.704 0.000
0.201 0.798 0.786
0.296 0.296 0.000
0.672 0.673 0.500
0.201 0.798 0.214
0.328 0.327 0.500
0.799 0.202 0.786
0.000 0.000 0.500
```